No. 1
First-principles (PBE-GGA) data for a relaxed structure of La3DyP4, as listed in the Alexandria database.

The value obtained for the calculated formation energy is -1567 meV per atom. As for the total energy: -6.695 eV/atom.

```
8
Lattice="4.212 -5.951 0.000 4.212 5.951 0.000 0.000 0.000 4.214" Properties=species:S:1:pos:R:3 pbc="T T T"
La 0.000 0.000 0.000
La 2.106 2.975 2.107
La 2.106 -2.975 2.107
Dy 4.212 0.000 0.000
P 4.212 2.918 0.000
P 2.182 0.000 2.107
P 6.241 0.000 2.107
P 4.212 -2.918 0.000
```

***

No. 2
First-principles (PBE-GGA) data for a relaxed structure of LaDy2P3, as listed in the Alexandria database.

The value obtained for the calculated formation energy is -1577 meV per atom. As for the total energy: -6.638 eV/atom.

```
6
Lattice="-2.049 2.904 6.146 2.049 -2.904 6.146 2.049 2.904 -6.146" Properties=species:S:1:pos:R:3 pbc="T T T"
La 0.000 0.000 0.000
Dy 0.000 0.000 4.105
Dy 0.000 0.000 8.188
P 2.049 0.000 2.140
P 0.000 2.904 0.000
P 0.000 2.904 4.006
```

***

No. 3
First-principles (PBE-GGA) data for a relaxed structure of La4DyPa3P8, as listed in the Alexandria database.

The value obtained for the calculated formation energy is -1479 meV per atom. As for the total energy: -7.484 eV/atom.

```
16
Lattice="4.095 2.364 6.771 -4.095 2.364 6.771 0.000 -4.728 6.771" Properties=species:S:1:pos:R:3 pbc="T T T"
La 0.000 0.000 0.000
La -2.047 -1.182 6.771
La -2.047 1.182 13.542
La 0.000 2.364 6.771
Dy 0.000 0.000 10.157
Pa -4.095 0.000 10.157
Pa -2.047 1.182 3.386
Pa 2.047 1.182 3.386
P -2.074 -1.198 11.699
P 0.000 0.000 4.925
P 0.000 -2.395 8.614
P -2.074 1.198 8.614
P 2.074 -1.198 11.699
P 0.000 2.395 11.699
P 0.000 0.000 15.388
P 2.074 1.198 8.614
```

***

No. 4
First-principles (PBE-GGA) data for a relaxed structure of LaPm2Dy3P6, as listed in the Alexandria database.

The value obtained for the calculated formation energy is -1581 meV per atom. As for the total energy: -6.639 eV/atom.

```
12
Lattice="3.547 -6.142 0.000 3.547 6.142 0.000 -2.362 0.000 6.684" Properties=species:S:1:pos:R:3 pbc="T T T"
La 0.000 0.000 0.000
Pm 3.547 2.049 0.000
Pm 3.547 -2.049 0.000
Dy 2.366 4.099 3.342
Dy 2.366 0.000 3.342
Dy 2.366 -4.099 3.342
P 1.195 2.068 1.736
P 0.026 0.000 4.950
P 1.195 -2.068 1.736
P 3.536 2.068 4.948
P 4.705 0.000 1.734
P 3.536 -2.068 4.948
```